No. 1
ErTm2Cu2 | GGA-PBE | relaxed

Properties
For the energy of formation from the pure elements, the calculation gives -123.1 meV per atom. The total energy comes out at -4.463 eV per atom. The value obtained for the distance to the lowest polymorph of the same formula is 0.074 eV/atom.

abc: 3.6618 13.8137 9.1631
angles: 90.00 90.00 90.00
Space group Cmc2_1 (No. 36)
Asymmetric unit:
Er 0.0000 0.0814 0.0000 (multiplicity 4)
Tm 0.0000 0.1947 0.3718 (multiplicity 4)
Tm 0.0000 0.3877 0.1564 (multiplicity 4)
Cu 0.0000 0.2803 0.6496 (multiplicity 4)
Cu 0.0000 0.4520 0.8271 (multiplicity 4)



No. 2
Er2TmCu | GGA-PBE | relaxed

Properties
For the energy of formation from the pure elements, the calculation gives -123.1 meV per atom. The total energy comes out at -4.546 eV per atom. The value obtained for the distance to the lowest polymorph of the same formula is 0.000 eV/atom.

abc: 6.7581 9.5433 6.4167
angles: 90.00 90.00 90.00
Space group Pnma (No. 62)
Asymmetric unit:
Er 0.1934 0.0594 0.1891 (multiplicity 8)
Tm 0.0196 0.2500 0.6288 (multiplicity 4)
Cu 0.0918 0.7500 0.9537 (multiplicity 4)



No. 3
ErTmCu5 | GGA-PBE | relaxed

Properties
For the energy of formation from the pure elements, the calculation gives -223.7 meV per atom. The total energy comes out at -4.440 eV per atom.

abc: 8.4455 5.0320 10.8365
angles: 90.00 90.00 90.00
Space group Pnma (No. 62)
Asymmetric unit:
Er 0.1323 0.2500 0.1404 (multiplicity 4)
Tm 0.2418 0.2500 0.4447 (multiplicity 4)
Cu 0.0488 0.2500 0.8892 (multiplicity 4)
Cu 0.0694 0.0005 0.6822 (multiplicity 8)
Cu 0.0852 0.7500 0.4800 (multiplicity 4)
Cu 0.1949 0.7500 0.2659 (multiplicity 4)



No. 4
Er2TmCu6 | GGA-PBE | relaxed

Properties
For the energy of formation from the pure elements, the calculation gives -265.2 meV per atom. The total energy comes out at -4.507 eV per atom.

abc: 7.3015 7.3015 3.4876
angles: 90.00 90.00 120.00
Space group P6/mmm (No. 191)
Asymmetric unit:
Er 0.3333 0.6667 0.0000 (multiplicity 2)
Tm 0.0000 0.0000 0.0000 (multiplicity 1)
Cu 0.0000 0.3329 0.5000 (multiplicity 6)



No. 5
ErTm5Cu4 | GGA-PBE | relaxed

Properties
For the energy of formation from the pure elements, the calculation gives -219.8 meV per atom. The total energy comes out at -4.550 eV per atom.

abc: 3.4218 3.4218 18.7880
angles: 90.00 90.00 90.00
Space group P4/mmm (No. 123)
Asymmetric unit:
Er 0.0000 0.0000 0.0000 (multiplicity 1)
Tm 0.5000 0.5000 0.1352 (multiplicity 2)
Tm 0.5000 0.5000 0.3165 (multiplicity 2)
Tm 0.5000 0.5000 0.5000 (multiplicity 1)
Cu 0.0000 0.0000 0.2256 (multiplicity 2)
Cu 0.0000 0.0000 0.4088 (multiplicity 2)



No. 6
ErTmCu3 | GGA-PBE | relaxed

Properties
For the energy of formation from the pure elements, the calculation gives -264.7 meV per atom. The total energy comes out at -4.529 eV per atom.

abc: 3.5034 25.3989 4.2817
angles: 90.00 90.00 90.00
Space group Cmcm (No. 63)
Asymmetric unit:
Er 0.0000 0.0717 0.2500 (multiplicity 4)
Tm 0.0000 0.2049 0.7500 (multiplicity 4)
Cu 0.0000 0.3278 0.7500 (multiplicity 4)
Cu 0.0000 0.3818 0.2500 (multiplicity 4)
Cu 0.0000 0.4772 0.2500 (multiplicity 4)



No. 7
ErTmCu4 | GGA-PBE | relaxed

Properties
For the energy of formation from the pure elements, the calculation gives -291.4 meV per atom. The total energy comes out at -4.528 eV per atom. The value obtained for the distance to the lowest polymorph of the same formula is 0.000 eV/atom.

abc: 4.2566 6.7390 7.2958
angles: 90.00 90.00 90.00
Space group Imm2 (No. 44)
Asymmetric unit:
Er 0.0000 0.0000 0.0000 (multiplicity 2)
Tm 0.0000 0.5000 0.0907 (multiplicity 2)
Cu 0.0000 0.1980 0.3814 (multiplicity 4)
Cu 0.0000 0.3015 0.7102 (multiplicity 4)



No. 8
ErTmCu4 | GGA-PBE | relaxed

Properties
For the energy of formation from the pure elements, the calculation gives -205.4 meV per atom. The total energy comes out at -4.442 eV per atom. The value obtained for the distance to the lowest polymorph of the same formula is 0.086 eV/atom.

abc: 7.3811 7.3811 7.3811
angles: 90.00 90.00 90.00
Space group F-43m (No. 216)
Asymmetric unit:
Er 0.0000 0.0000 0.0000 (multiplicity 4)
Tm 0.2500 0.2500 0.7500 (multiplicity 4)
Cu 0.1249 0.1249 0.3751 (multiplicity 16)